# 1
Computed, not measured: a relaxed structure of CeSm2InN4 at the PBE level of DFT.

Summary:
**Volume**: 124.3 Å³/cell
**Total energy**: -59.4 eV per cell
**Symmetry**: No. 10

Cell and atoms, written as POSCAR:
```
CeSm2InN4
1.0
6.096 0.000 0.000
0.000 3.534 0.000
-2.170 0.000 5.772
Ce Sm In N
1 2 1 4
Direct
0.000 0.000 0.000
0.000 0.500 0.500
0.500 0.000 0.500
0.500 0.500 0.000
0.238 0.500 0.250
0.254 0.000 0.761
0.746 0.000 0.239
0.762 0.500 0.750
```

***

# 2
Computed, not measured: a relaxed structure of SrCeInN3 at the PBE level of DFT.

Summary:
**Volume**: 227.5 Å³/cell
**Total energy**: -78.0 eV per cell
**Symmetry**: No. 11

Cell and atoms, written as POSCAR:
```
SrCeInN3
1.0
7.580 0.000 0.000
0.000 3.577 0.000
-0.274 0.000 8.388
Sr Ce In N
2 2 2 6
Direct
0.150 0.250 0.183
0.850 0.750 0.817
0.380 0.750 0.853
0.620 0.250 0.147
0.141 0.250 0.582
0.859 0.750 0.418
0.164 0.750 0.436
0.171 0.250 0.843
0.414 0.750 0.111
0.586 0.250 0.889
0.829 0.750 0.157
0.836 0.250 0.564
```

***

# 3
Computed, not measured: a relaxed structure of Sr4Ce3InN8 at the PBE level of DFT.

Summary:
**Volume**: 270.1 Å³/cell
**Total energy**: -107.8 eV per cell
**Symmetry**: No. 12

Cell and atoms, written as POSCAR:
```
Sr4Ce3InN8
1.0
6.301 -3.561 0.000
6.301 3.561 0.000
-4.083 0.000 6.019
Sr Ce In N
4 3 1 8
Direct
0.000 0.000 0.000
0.000 0.500 0.000
0.500 0.000 0.000
0.500 0.500 0.000
0.000 0.000 0.500
0.000 0.500 0.500
0.500 0.000 0.500
0.500 0.500 0.500
0.233 0.744 0.716
0.237 0.237 0.707
0.252 0.252 0.282
0.256 0.767 0.284
0.744 0.233 0.716
0.748 0.748 0.718
0.763 0.763 0.293
0.767 0.256 0.284
```

***

# 4
Computed, not measured: a relaxed structure of Ce2TaInN5 at the PBE level of DFT.

Summary:
**Volume**: 246.9 Å³/cell
**Total energy**: -152.9 eV per cell
**Symmetry**: No. 36

Cell and atoms, written as POSCAR:
```
Ce2TaInN5
1.0
1.670 -7.120 0.000
1.670 7.120 0.000
0.000 0.000 10.381
Ce Ta In N
4 2 2 10
Direct
0.125 0.875 0.500
0.131 0.869 0.063
0.869 0.131 0.563
0.875 0.125 0.000
0.227 0.773 0.791
0.773 0.227 0.291
0.483 0.517 0.269
0.517 0.483 0.769
0.083 0.917 0.845
0.277 0.723 0.435
0.289 0.711 0.159
0.365 0.635 0.808
0.499 0.501 0.062
0.501 0.499 0.562
0.635 0.365 0.308
0.711 0.289 0.659
0.723 0.277 0.935
0.917 0.083 0.345
```

***

# 5
Computed, not measured: a relaxed structure of Tb2CeInN4 at the PBE level of DFT.

Summary:
**Volume**: 119.8 Å³/cell
**Total energy**: -59.9 eV per cell
**Symmetry**: No. 10

Cell and atoms, written as POSCAR:
```
Tb2CeInN4
1.0
6.011 0.000 0.000
0.000 3.492 0.000
-2.112 0.000 5.706
Tb Ce In N
2 1 1 4
Direct
0.000 0.000 0.000
0.500 0.500 0.000
0.000 0.500 0.500
0.500 0.000 0.500
0.243 0.000 0.758
0.253 0.500 0.254
0.747 0.500 0.746
0.757 0.000 0.242
```

***

# 6
Computed, not measured: a relaxed structure of CeTh2InN at the PBE level of DFT.

Summary:
**Volume**: 123.5 Å³/cell
**Total energy**: -35.7 eV per cell
**Symmetry**: No. 123

Cell and atoms, written as POSCAR:
```
CeTh2InN
1.0
4.987 0.000 0.000
0.000 4.987 0.000
0.000 0.000 4.966
Ce Th In N
1 2 1 1
Direct
0.000 0.000 0.000
0.000 0.500 0.500
0.500 0.000 0.500
0.500 0.500 0.000
0.000 0.000 0.500
```

***

# 7
Computed, not measured: a relaxed structure of Ce2ThInN at the PBE level of DFT.

Summary:
**Volume**: 121.5 Å³/cell
**Total energy**: -34.4 eV per cell
**Symmetry**: No. 123

Cell and atoms, written as POSCAR:
```
Ce2ThInN
1.0
4.950 0.000 0.000
0.000 4.950 0.000
0.000 0.000 4.957
Ce Th In N
2 1 1 1
Direct
0.000 0.500 0.000
0.500 0.000 0.000
0.000 0.000 0.500
0.500 0.500 0.500
0.000 0.000 0.000
```

***

# 8
Computed, not measured: a relaxed structure of Ce2TiInN5 at the PBE level of DFT.

Summary:
**Volume**: 241.4 Å³/cell
**Total energy**: -144.8 eV per cell
**Symmetry**: No. 36

Cell and atoms, written as POSCAR:
```
Ce2TiInN5
1.0
1.698 -6.799 0.000
1.698 6.799 0.000
0.000 0.000 10.453
Ce Ti In N
4 2 2 10
Direct
0.113 0.887 0.500
0.138 0.862 0.093
0.862 0.138 0.593
0.887 0.113 0.000
0.223 0.777 0.814
0.777 0.223 0.314
0.469 0.531 0.283
0.531 0.469 0.783
0.076 0.924 0.884
0.275 0.725 0.474
0.294 0.706 0.200
0.365 0.635 0.830
0.498 0.502 0.584
0.502 0.498 0.084
0.635 0.365 0.330
0.706 0.294 0.700
0.725 0.275 0.974
0.924 0.076 0.384
```

***

# 9
Computed, not measured: a relaxed structure of Ce2YInN at the PBE level of DFT.

Summary:
**Volume**: 117.9 Å³/cell
**Total energy**: -33.6 eV per cell
**Symmetry**: No. 123

Cell and atoms, written as POSCAR:
```
Ce2YInN
1.0
4.898 0.000 0.000
0.000 4.898 0.000
0.000 0.000 4.915
Ce Y In N
2 1 1 1
Direct
0.000 0.500 0.000
0.500 0.000 0.000
0.000 0.000 0.500
0.500 0.500 0.500
0.000 0.000 0.000
```

***

# 10
Computed, not measured: a relaxed structure of Ce2ZrInN5 at the PBE level of DFT.

Summary:
**Volume**: 268.3 Å³/cell
**Total energy**: -147.2 eV per cell
**Symmetry**: No. 36

Cell and atoms, written as POSCAR:
```
Ce2ZrInN5
1.0
1.726 -6.970 0.000
1.726 6.970 0.000
0.000 0.000 11.148
Ce Zr In N
4 2 2 10
Direct
0.126 0.874 0.500
0.130 0.870 0.962
0.870 0.130 0.462
0.874 0.126 0.000
0.232 0.768 0.247
0.768 0.232 0.747
0.490 0.510 0.730
0.510 0.490 0.230
0.079 0.921 0.299
0.273 0.727 0.620
0.282 0.718 0.900
0.372 0.628 0.325
0.488 0.512 0.037
0.512 0.488 0.537
0.628 0.372 0.825
0.718 0.282 0.400
0.727 0.273 0.120
0.921 0.079 0.799
```

***

# 11
Computed, not measured: a relaxed structure of NaCe3In4 at the PBE level of DFT.

Summary:
**Volume**: 222.2 Å³/cell
**Total energy**: -32.2 eV per cell
**Symmetry**: No. 47

Cell and atoms, written as POSCAR:
```
NaCe3In4
1.0
3.294 0.000 0.000
0.000 5.815 0.000
0.000 0.000 11.601
Na Ce In
1 3 4
Direct
0.000 0.000 0.000
0.000 0.000 0.500
0.000 0.500 0.247
0.000 0.500 0.753
0.500 0.000 0.246
0.500 0.000 0.754
0.500 0.500 0.000
0.500 0.500 0.500
```

***

# 12
Computed, not measured: a relaxed structure of NaCe2In9 at the PBE level of DFT.

Summary:
**Volume**: 312.4 Å³/cell
**Total energy**: -41.2 eV per cell
**Symmetry**: No. 123

Cell and atoms, written as POSCAR:
```
NaCe2In9
1.0
4.698 0.000 0.000
0.000 4.698 0.000
0.000 0.000 14.155
Na Ce In
1 2 9
Direct
0.000 0.000 0.000
0.000 0.000 0.333
0.000 0.000 0.667
0.000 0.500 0.164
0.000 0.500 0.500
0.000 0.500 0.836
0.500 0.000 0.164
0.500 0.000 0.500
0.500 0.000 0.836
0.500 0.500 0.000
0.500 0.500 0.336
0.500 0.500 0.664
```